{
  "formula": "CeCdAgPt",
  "functional": "PBE",
  "state": "relaxed",
  "cell": [[-3.8052, 0.6761, 3.0867], [-3.9985, -2.8924, -0.3328], [-0.9423, -3.3327, 3.5312]],
  "species": ["Pt", "Ce", "Ag", "Cd"],
  "fractional_positions": [[0.0000, 0.0000, 0.0000], [0.2500, 0.2500, 0.2500], [0.5000, 0.5000, 0.5000], [0.7500, 0.7500, 0.7500]],
  "formation_enthalpy_0k_ev_per_atom": -0.478,
  "e_tot_ev_per_atom": -4.414,
  "n_ef_per_ev_atom": 1.4296
}